Entry 1:
# LiMnSnBr5 (PBE, relaxed)
data_LiMnSnBr5
_chemical_formula_sum 'Li2 Mn2 Sn2 Br10'
_space_group_name_H-M_alt 'P 1'
_space_group_IT_number 1
_space_group_name_Hall 'P 1'
_cell_length_a 7.734
_cell_length_b 7.734
_cell_length_c 9.690
_cell_angle_alpha 103.84
_cell_angle_beta 103.84
_cell_angle_gamma 108.61
loop_
_atom_site_label
_atom_site_type_symbol
_atom_site_fract_x
_atom_site_fract_y
_atom_site_fract_z
Mn1 Mn 0.657 0.343 0.250
Sn1 Sn 0.297 0.703 0.250
Sn2 Sn 0.703 0.297 0.750
Br1 Br 0.351 0.269 0.054
Br2 Br 0.649 0.731 0.946
Br3 Br 0.917 0.083 0.750
Mn2 Mn 0.343 0.657 0.750
Br4 Br 0.083 0.917 0.250
Li1 Li 0.000 0.000 0.000
Br5 Br 0.104 0.656 0.891
Br6 Br 0.731 0.649 0.446
Br7 Br 0.269 0.351 0.554
Br8 Br 0.344 0.896 0.609
Li2 Li 0.000 0.000 0.500
Br9 Br 0.896 0.344 0.109
Br10 Br 0.656 0.104 0.391
# energy relative to the elements, uncorrected = -0.8909 eV per atom
# total moment = 10.00 Bohr magnetons per cell
# SG = C2/c, No. 15
# volume = 501.1 Å³ per cell


Entry 2:
# LiMnSn2Br6 (PBE, relaxed)
data_LiMnSn2Br6
_chemical_formula_sum 'Li1 Mn1 Sn2 Br6'
_space_group_name_H-M_alt 'P 1'
_space_group_IT_number 1
_space_group_name_Hall 'P 1'
_cell_length_a 7.574
_cell_length_b 7.573
_cell_length_c 7.908
_cell_angle_alpha 61.36
_cell_angle_beta 61.37
_cell_angle_gamma 59.92
loop_
_atom_site_label
_atom_site_type_symbol
_atom_site_fract_x
_atom_site_fract_y
_atom_site_fract_z
Br1 Br 0.054 0.450 0.804
Br2 Br 0.589 0.161 0.309
Br3 Br 0.941 0.590 0.309
Br4 Br 0.692 0.054 0.804
Br5 Br 0.160 0.941 0.309
Sn1 Sn 0.561 0.560 0.319
Li1 Li 0.810 0.809 0.571
Br6 Br 0.450 0.693 0.803
Mn1 Mn 0.413 0.413 0.761
Sn2 Sn 0.991 0.991 0.027
# energy relative to the elements, uncorrected = -0.7788 eV per atom
# total moment = 4.00 Bohr magnetons per cell
# SG = P1, No. 1
# volume = 327.0 Å³ per cell


Entry 3:
# Li2MnTcBr (PBE, relaxed)
data_Li2MnTcBr
_chemical_formula_sum 'Li2 Mn1 Tc1 Br1'
_space_group_name_H-M_alt 'P 1'
_space_group_IT_number 1
_space_group_name_Hall 'P 1'
_cell_length_a 5.070
_cell_length_b 4.308
_cell_length_c 5.070
_cell_angle_alpha 90.00
_cell_angle_beta 90.00
_cell_angle_gamma 90.00
loop_
_atom_site_label
_atom_site_type_symbol
_atom_site_fract_x
_atom_site_fract_y
_atom_site_fract_z
Li1 Li 0.500 0.000 0.000
Tc1 Tc 0.000 0.500 0.000
Li2 Li 0.000 0.000 0.500
Br1 Br 0.500 0.500 0.500
Mn1 Mn 0.000 0.000 0.000
# energy relative to the elements, uncorrected = 0.6972 eV per atom
# total moment = 1.60 Bohr magnetons per cell
# SG = P4/mmm, No. 123
# D(E_F) = 3.62 states/eV/f.u.
# volume = 110.7 Å³ per cell


Entry 4:
# Li3MnTl3Br8 (PBE, relaxed)
data_Li3MnTl3Br8
_chemical_formula_sum 'Li3 Mn1 Tl3 Br8'
_space_group_name_H-M_alt 'P 1'
_space_group_IT_number 1
_space_group_name_Hall 'P 1'
_cell_length_a 8.158
_cell_length_b 8.163
_cell_length_c 9.035
_cell_angle_alpha 116.87
_cell_angle_beta 90.00
_cell_angle_gamma 119.98
loop_
_atom_site_label
_atom_site_type_symbol
_atom_site_fract_x
_atom_site_fract_y
_atom_site_fract_z
Li1 Li 0.500 0.000 0.500
Br1 Br 0.269 0.537 0.306
Br2 Br 0.226 0.452 0.692
Tl1 Tl 0.000 0.000 0.000
Tl2 Tl 0.000 0.500 0.000
Tl3 Tl 0.500 0.500 0.000
Br3 Br 0.741 0.967 0.692
Br4 Br 0.226 0.967 0.692
Br5 Br 0.259 0.033 0.308
Mn1 Mn 0.000 0.000 0.500
Br6 Br 0.774 0.548 0.308
Li2 Li 0.500 0.500 0.500
Br7 Br 0.731 0.463 0.694
Li3 Li 0.000 0.500 0.500
Br8 Br 0.774 0.033 0.308
# energy relative to the elements, uncorrected = -1.0839 eV per atom
# total moment = 5.00 Bohr magnetons per cell
# SG = C2/m, No. 12
# D(E_F) = 0.00 states/eV/f.u.
# volume = 444.6 Å³ per cell


Entry 5:
# LiMnTlBr6 (PBE, relaxed)
data_LiMnTlBr6
_chemical_formula_sum 'Li1 Mn1 Tl1 Br6'
_space_group_name_H-M_alt 'P 1'
_space_group_IT_number 1
_space_group_name_Hall 'P 1'
_cell_length_a 7.059
_cell_length_b 6.826
_cell_length_c 6.826
_cell_angle_alpha 120.00
_cell_angle_beta 90.00
_cell_angle_gamma 90.00
loop_
_atom_site_label
_atom_site_type_symbol
_atom_site_fract_x
_atom_site_fract_y
_atom_site_fract_z
Mn1 Mn 0.500 0.000 0.000
Br1 Br 0.703 0.718 0.694
Br2 Br 0.703 0.306 0.025
Li1 Li 0.500 0.667 0.333
Br3 Br 0.297 0.306 0.282
Br4 Br 0.703 0.975 0.282
Br5 Br 0.297 0.975 0.694
Br6 Br 0.297 0.718 0.025
Tl1 Tl 0.000 0.333 0.667
# energy relative to the elements, uncorrected = -0.8178 eV per atom
# total moment = 3.02 Bohr magnetons per cell
# SG = P312, No. 149
# volume = 284.8 Å³ per cell


Entry 6:
# LiMnTl2Br5 (PBE, relaxed)
data_LiMnTl2Br5
_chemical_formula_sum 'Li2 Mn2 Tl4 Br10'
_space_group_name_H-M_alt 'P 1'
_space_group_IT_number 1
_space_group_name_Hall 'P 1'
_cell_length_a 4.157
_cell_length_b 9.757
_cell_length_c 14.145
_cell_angle_alpha 90.00
_cell_angle_beta 90.00
_cell_angle_gamma 102.30
loop_
_atom_site_label
_atom_site_type_symbol
_atom_site_fract_x
_atom_site_fract_y
_atom_site_fract_z
Tl1 Tl 0.899 0.798 0.170
Br1 Br 0.278 0.556 0.651
Br2 Br 0.304 0.608 0.394
Mn1 Mn 0.212 0.423 0.022
Tl2 Tl 0.101 0.202 0.670
Br3 Br 0.070 0.140 0.047
Li1 Li 0.567 0.133 0.945
Li2 Li 0.433 0.867 0.445
Br4 Br 0.652 0.304 0.497
Br5 Br 0.499 0.997 0.292
Br6 Br 0.501 0.003 0.792
Br7 Br 0.696 0.392 0.894
Tl3 Tl 0.870 0.740 0.807
Br8 Br 0.722 0.444 0.151
Tl4 Tl 0.130 0.260 0.307
Br9 Br 0.348 0.696 0.997
Br10 Br 0.930 0.860 0.547
Mn2 Mn 0.788 0.577 0.522
# energy relative to the elements, uncorrected = -0.9770 eV per atom
# total moment = 10.00 Bohr magnetons per cell
# SG = Cmc2_1, No. 36
# D(E_F) = 0.00 states/eV/f.u.
# volume = 560.5 Å³ per cell


Entry 7:
# Li2MnTlBr6 (PBE, relaxed)
data_Li2MnTlBr6
_chemical_formula_sum 'Li2 Mn1 Tl1 Br6'
_space_group_name_H-M_alt 'P 1'
_space_group_IT_number 1
_space_group_name_Hall 'P 1'
_cell_length_a 7.049
_cell_length_b 6.681
_cell_length_c 8.983
_cell_angle_alpha 64.13
_cell_angle_beta 62.88
_cell_angle_gamma 57.71
loop_
_atom_site_label
_atom_site_type_symbol
_atom_site_fract_x
_atom_site_fract_y
_atom_site_fract_z
Br1 Br 0.064 0.387 0.852
Br2 Br 0.689 0.077 0.862
Mn1 Mn 0.316 0.316 0.052
Li1 Li 0.960 0.012 0.035
Br3 Br 0.569 0.245 0.250
Tl1 Tl 0.816 0.817 0.552
Br4 Br 0.943 0.555 0.241
Li2 Li 0.672 0.620 0.068
Br5 Br 0.364 0.698 0.866
Br6 Br 0.268 0.934 0.238
# energy relative to the elements, uncorrected = -1.0383 eV per atom
# total moment = 4.00 Bohr magnetons per cell
# SG = P-1, No. 2
# D(E_F) = 0.81 states/eV/f.u.
# volume = 307.7 Å³ per cell


Entry 8:
# LiMnTl2Br6 (PBE, relaxed)
data_LiMnTl2Br6
_chemical_formula_sum 'Li1 Mn1 Tl2 Br6'
_space_group_name_H-M_alt 'P 1'
_space_group_IT_number 1
_space_group_name_Hall 'P 1'
_cell_length_a 7.813
_cell_length_b 7.420
_cell_length_c 7.199
_cell_angle_alpha 61.28
_cell_angle_beta 61.33
_cell_angle_gamma 60.95
loop_
_atom_site_label
_atom_site_type_symbol
_atom_site_fract_x
_atom_site_fract_y
_atom_site_fract_z
Mn1 Mn 0.316 0.312 0.054
Br1 Br 0.134 0.477 0.787
Li1 Li 0.813 0.879 0.493
Br2 Br 0.136 0.035 0.280
Tl1 Tl 0.066 0.031 0.810
Br3 Br 0.987 0.594 0.306
Br4 Br 0.493 0.144 0.337
Tl2 Tl 0.576 0.594 0.289
Br5 Br 0.497 0.578 0.838
Br6 Br 0.644 0.018 0.821
# energy relative to the elements, uncorrected = -0.8880 eV per atom
# total moment = 4.00 Bohr magnetons per cell
# SG = P1, No. 1
# volume = 302.9 Å³ per cell


Entry 9:
# LiMn2Tl3Br9 (PBE, relaxed)
data_LiMn2Tl3Br9
_chemical_formula_sum 'Li1 Mn2 Tl3 Br9'
_space_group_name_H-M_alt 'P 1'
_space_group_IT_number 1
_space_group_name_Hall 'P 1'
_cell_length_a 7.444
_cell_length_b 7.444
_cell_length_c 9.166
_cell_angle_alpha 90.00
_cell_angle_beta 90.00
_cell_angle_gamma 120.00
loop_
_atom_site_label
_atom_site_type_symbol
_atom_site_fract_x
_atom_site_fract_y
_atom_site_fract_z
Tl1 Tl 0.667 0.333 0.358
Br1 Br 0.000 0.500 0.000
Tl2 Tl 0.000 0.000 0.000
Mn1 Mn 0.667 0.333 0.829
Br2 Br 0.169 0.831 0.326
Li1 Li 0.000 0.000 0.500
Br3 Br 0.831 0.661 0.674
Br4 Br 0.831 0.169 0.674
Br5 Br 0.500 0.500 0.000
Br6 Br 0.661 0.831 0.326
Tl3 Tl 0.333 0.667 0.642
Br7 Br 0.500 0.000 0.000
Mn2 Mn 0.333 0.667 0.171
Br8 Br 0.339 0.169 0.674
Br9 Br 0.169 0.339 0.326
# energy relative to the elements, uncorrected = -0.8524 eV per atom
# total moment = 9.00 Bohr magnetons per cell
# SG = P-3m1, No. 164
# D(E_F) = 1.85 states/eV/f.u.
# volume = 439.9 Å³ per cell


Entry 10:
# LiMn2TlBr6 (PBE, relaxed)
data_LiMn2TlBr6
_chemical_formula_sum 'Li2 Mn4 Tl2 Br12'
_space_group_name_H-M_alt 'P 1'
_space_group_IT_number 1
_space_group_name_Hall 'P 1'
_cell_length_a 7.880
_cell_length_b 9.934
_cell_length_c 9.934
_cell_angle_alpha 89.11
_cell_angle_beta 75.42
_cell_angle_gamma 75.42
loop_
_atom_site_label
_atom_site_type_symbol
_atom_site_fract_x
_atom_site_fract_y
_atom_site_fract_z
Br1 Br 0.442 0.849 0.385
Br2 Br 0.313 0.202 0.040
Mn1 Mn 0.695 0.235 0.386
Tl1 Tl 0.250 0.878 0.122
Br3 Br 0.813 0.040 0.202
Br4 Br 0.529 0.573 0.696
Li1 Li 0.250 0.209 0.791
Li2 Li 0.750 0.791 0.209
Tl2 Tl 0.750 0.122 0.878
Br5 Br 0.471 0.427 0.304
Br6 Br 0.558 0.151 0.615
Br7 Br 0.687 0.798 0.960
Mn2 Mn 0.195 0.386 0.235
Br8 Br 0.058 0.615 0.151
Br9 Br 0.942 0.385 0.849
Br10 Br 0.029 0.696 0.573
Br11 Br 0.187 0.960 0.798
Mn3 Mn 0.805 0.614 0.765
Mn4 Mn 0.305 0.765 0.614
Br12 Br 0.971 0.304 0.427
# energy relative to the elements, uncorrected = -0.9220 eV per atom
# total moment = 20.00 Bohr magnetons per cell
# SG = C2/c, No. 15
# D(E_F) = 0.00 states/eV/f.u.
# volume = 727.3 Å³ per cell


- The highest total moment belongs to which entry?
  LiMn2TlBr6


- Among the records above, which one has the lowest volume?
  Li2MnTcBr